This record from the Alexandria database describes a relaxed MgAlNiOs crystal. The functional is GGA-PBE.

a b c (Å): 4.2634 4.2634 4.2634
angles (deg): 60.00 60.00 60.00
Fractional coordinates of all 4 atoms:
1 Ni 0.0000 0.0000 0.0000
2 Os 0.5000 0.5000 0.5000
3 Al 0.7500 0.7500 0.7500
4 Mg 0.2500 0.2500 0.2500

Output
Calculated formation energy: -20.2 kJ per mole of atoms

---

This record from the Alexandria database describes a relaxed Mg3AlNi9P2 crystal. The functional is GGA-PBE.

a b c (Å): 5.6463 5.6463 8.4554
angles (deg): 90.00 90.00 120.00
Fractional coordinates of all 15 atoms:
1 Ni 0.7196 0.8598 0.2674
2 Al 0.0000 0.0000 0.5000
3 Mg 0.3333 0.6667 0.7191
4 Ni 0.5000 0.5000 0.0000
5 Ni 0.2804 0.1402 0.7326
6 Mg 0.6667 0.3333 0.2809
7 Ni 0.1402 0.8598 0.2674
8 Ni 0.8598 0.1402 0.7326
9 P 0.6667 0.3333 0.8318
10 Ni 0.5000 0.0000 0.0000
11 Mg 0.0000 0.0000 0.0000
12 Ni 0.0000 0.5000 0.0000
13 Ni 0.8598 0.7196 0.7326
14 Ni 0.1402 0.2804 0.2674
15 P 0.3333 0.6667 0.1682

Output
Calculated formation energy: -18.1 kJ per mole of atoms

---

This record from the Alexandria database describes a relaxed MgAlNiPd crystal. The functional is GGA-PBE.

a b c (Å): 4.3104 4.3104 4.3104
angles (deg): 60.00 60.00 60.00
Fractional coordinates of all 4 atoms:
1 Pd 0.7500 0.7500 0.7500
2 Ni 0.2500 0.2500 0.2500
3 Al 0.0000 0.0000 0.0000
4 Mg 0.5000 0.5000 0.5000

Output
Calculated formation energy: -57.9 kJ per mole of atoms

---

This record from the Alexandria database describes a relaxed Pm2MgAl2Ni5 crystal. The functional is GGA-PBE.

a b c (Å): 3.3846 9.9531 9.9531
angles (deg): 90.00 90.00 90.00
Fractional coordinates of all 20 atoms:
1 Al 0.0000 0.3829 0.1171
2 Ni 0.5000 0.9413 0.2181
3 Pm 0.0000 0.8201 0.6799
4 Ni 0.5000 0.7181 0.4413
5 Al 0.0000 0.1171 0.6171
6 Mg 0.0000 0.5000 0.5000
7 Ni 0.5000 0.5587 0.7181
8 Pm 0.0000 0.1799 0.3201
9 Pm 0.0000 0.6799 0.1799
10 Ni 0.5000 0.2819 0.5587
11 Ni 0.5000 0.5000 0.0000
12 Pm 0.0000 0.3201 0.8201
13 Al 0.0000 0.6171 0.8829
14 Ni 0.5000 0.0587 0.7819
15 Ni 0.5000 0.7819 0.9413
16 Ni 0.5000 0.2181 0.0587
17 Al 0.0000 0.8829 0.3829
18 Ni 0.5000 0.4413 0.2819
19 Mg 0.0000 0.0000 0.0000
20 Ni 0.5000 0.0000 0.5000

Output
Calculated formation energy: -27.0 kJ per mole of atoms

---

This record from the Alexandria database describes a relaxed Pr2MgAl2Ni5 crystal. The functional is GGA-PBE.

a b c (Å): 3.3786 10.0743 10.0743
angles (deg): 90.00 90.00 90.00
Fractional coordinates of all 20 atoms:
1 Ni 0.5000 0.5584 0.7188
2 Ni 0.5000 0.2188 0.0584
3 Al 0.0000 0.1166 0.6166
4 Ni 0.5000 0.7812 0.9416
5 Mg 0.0000 0.5000 0.5000
6 Ni 0.5000 0.0584 0.7812
7 Ni 0.5000 0.2812 0.5584
8 Ni 0.5000 0.0000 0.5000
9 Ni 0.5000 0.5000 0.0000
10 Al 0.0000 0.3834 0.1166
11 Al 0.0000 0.8834 0.3834
12 Pr 0.0000 0.8197 0.6803
13 Ni 0.5000 0.9416 0.2188
14 Al 0.0000 0.6166 0.8834
15 Mg 0.0000 0.0000 0.0000
16 Ni 0.5000 0.7188 0.4416
17 Pr 0.0000 0.1803 0.3197
18 Pr 0.0000 0.3197 0.8197
19 Pr 0.0000 0.6803 0.1803
20 Ni 0.5000 0.4416 0.2812

Output
Calculated formation energy: -23.5 kJ per mole of atoms

---

This record from the Alexandria database describes a relaxed Mg2Al2NiPt5 crystal. The functional is GGA-PBE.

a b c (Å): 3.6182 9.3702 9.3702
angles (deg): 90.00 90.00 90.00
Last column: magnetic moment on the atom in μB.
Fractional coordinates of all 20 atoms:
1 Pt 0.5000 0.4271 0.3028  0.01
2 Ni 0.0000 0.5000 0.5000  0.37
3 Ni 0.0000 0.0000 0.0000  0.37
4 Al 0.0000 0.8699 0.3699  0.00
5 Mg 0.0000 0.6713 0.1713  0.00
6 Pt 0.5000 0.6972 0.4271  0.01
7 Al 0.0000 0.1301 0.6301  0.00
8 Pt 0.5000 0.8028 0.9271  0.01
9 Pt 0.5000 0.5729 0.6972  0.01
10 Al 0.0000 0.3699 0.1301  0.00
11 Al 0.0000 0.6301 0.8699  0.00
12 Pt 0.5000 0.3028 0.5729  0.01
13 Pt 0.5000 0.5000 0.0000  0.00
14 Mg 0.0000 0.3287 0.8287  0.00
15 Mg 0.0000 0.1713 0.3287  0.00
16 Mg 0.0000 0.8287 0.6713  0.00
17 Pt 0.5000 0.0000 0.5000  0.00
18 Pt 0.5000 0.9271 0.1972  0.01
19 Pt 0.5000 0.1972 0.0729  0.01
20 Pt 0.5000 0.0729 0.8028  0.01

Output
Calculated formation energy: -62.6 kJ per mole of atoms

---

This record from the Alexandria database describes a relaxed MgAlNiRu crystal. The functional is GGA-PBE.

a b c (Å): 4.2491 4.2491 4.2491
angles (deg): 60.00 60.00 60.00
Fractional coordinates of all 4 atoms:
1 Ni 0.7500 0.7500 0.7500
2 Ru 0.2500 0.2500 0.2500
3 Mg 0.0000 0.0000 0.0000
4 Al 0.5000 0.5000 0.5000

Output
Calculated formation energy: -38.0 kJ per mole of atoms

---

This record from the Alexandria database describes a relaxed Mg2ScAlNi crystal. The functional is GGA-PBE.

a b c (Å): 4.7951 4.6825 4.7951
angles (deg): 90.00 90.00 90.00
Fractional coordinates of all 5 atoms:
1 Al 0.5000 0.5000 0.5000
2 Mg 0.5000 0.0000 0.0000
3 Sc 0.0000 0.5000 0.0000
4 Ni 0.0000 0.0000 0.0000
5 Mg 0.0000 0.0000 0.5000

Output
Calculated formation energy: 5.9 kJ per mole of atoms

---

This record from the Alexandria database describes a relaxed Mg2AlSi2Ni5 crystal. The functional is GGA-PBE.

a b c (Å): 3.1696 9.1284 9.1284
angles (deg): 90.00 90.00 90.00
Fractional coordinates of all 20 atoms:
1 Si 0.0000 0.1258 0.6258
2 Al 0.0000 0.5000 0.5000
3 Mg 0.0000 0.8267 0.6733
4 Si 0.0000 0.8742 0.3742
5 Mg 0.0000 0.6733 0.1733
6 Ni 0.5000 0.0643 0.7943
7 Mg 0.0000 0.1733 0.3267
8 Ni 0.5000 0.7057 0.4357
9 Ni 0.5000 0.5643 0.7057
10 Ni 0.5000 0.9357 0.2057
11 Ni 0.5000 0.5000 0.0000
12 Mg 0.0000 0.3267 0.8267
13 Si 0.0000 0.3742 0.1258
14 Ni 0.5000 0.2057 0.0643
15 Ni 0.5000 0.7943 0.9357
16 Al 0.0000 0.0000 0.0000
17 Ni 0.5000 0.0000 0.5000
18 Ni 0.5000 0.2943 0.5643
19 Si 0.0000 0.6258 0.8742
20 Ni 0.5000 0.4357 0.2943

Output
Final energy: -101.92 eV/cell

---

This record from the Alexandria database describes a relaxed Sr2MgAl12Ni3 crystal. The functional is GGA-PBE.

a b c (Å): 8.0079 8.0079 8.0079
angles (deg): 66.38 66.38 66.38
Fractional coordinates of all 18 atoms:
1 Sr 0.5949 0.5949 0.5949
2 Al 0.3875 0.8701 0.8701
3 Ni 0.5000 0.0000 0.0000
4 Sr 0.4051 0.4051 0.4051
5 Al 0.0836 0.7312 0.7312
6 Al 0.8701 0.8701 0.3875
7 Al 0.1299 0.1299 0.6125
8 Mg 0.0000 0.0000 0.0000
9 Al 0.6125 0.1299 0.1299
10 Al 0.7312 0.0836 0.7312
11 Al 0.2688 0.9164 0.2688
12 Al 0.8701 0.3875 0.8701
13 Al 0.7312 0.7312 0.0836
14 Al 0.9164 0.2688 0.2688
15 Ni 0.0000 0.5000 0.0000
16 Ni 0.0000 0.0000 0.5000
17 Al 0.2688 0.2688 0.9164
18 Al 0.1299 0.6125 0.1299

Output
Calculated formation energy: 5.5 kJ per mole of atoms

---

This record from the Alexandria database describes a relaxed SrMgAl2Ni crystal. The functional is GGA-PBE.

a b c (Å): 4.6729 4.6729 4.8881
angles (deg): 90.00 90.00 90.00
Fractional coordinates of all 5 atoms:
1 Sr 0.5000 0.5000 0.5000
2 Al 0.5000 0.0000 0.0000
3 Al 0.0000 0.5000 0.0000
4 Ni 0.0000 0.0000 0.0000
5 Mg 0.0000 0.0000 0.5000

Output
Calculated formation energy: -23.4 kJ per mole of atoms

---

This record from the Alexandria database describes a relaxed MgTaAl2Ni crystal. The functional is GGA-PBE.

a b c (Å): 4.6262 4.6262 4.8472
angles (deg): 90.00 90.00 90.00
Last column: magnetic moment on the atom in μB.
Fractional coordinates of all 5 atoms:
1 Al 0.0000 0.5000 0.0000  0.00
2 Ta 0.0000 0.0000 0.5000  0.03
3 Ni 0.5000 0.5000 0.5000  0.15
4 Mg 0.0000 0.0000 0.0000  0.00
5 Al 0.5000 0.0000 0.0000  0.00

Output
Calculated formation energy: 157.0 kJ per mole of atoms